1.
Computed, not measured: a relaxed Mg4Zn3Ir2 crystal at the PBE level of DFT.

Geometry as POSCAR:
```
Mg4Zn3Ir2
1.0
4.100 0.001 0.000
2.050 4.285 1.286
0.000 0.545 8.323
Mg Zn Ir
4 3 2
direct
0.662 0.677 0.889
0.015 0.970 0.331
0.985 0.030 0.669
0.338 0.323 0.111
0.331 0.337 0.441
0.000 0.000 0.000
0.669 0.663 0.559
0.318 0.364 0.764
0.682 0.636 0.236
```

2.
Computed, not measured: a relaxed Mg2Zn3Ir3 crystal at the PBE level of DFT.

Geometry as POSCAR:
```
Mg2Zn3Ir3
1.0
2.886 0.000 0.000
0.000 6.071 -3.416
0.000 0.073 6.965
Mg Zn Ir
2 3 3
direct
0.000 0.625 0.377
0.000 0.377 0.625
0.000 0.041 0.705
0.000 0.705 0.041
0.000 0.126 0.126
0.500 0.001 0.368
0.500 0.368 0.001
0.500 0.756 0.756
```

3.
Computed, not measured: a relaxed MgZnIr2 crystal at the PBE level of DFT.

Geometry as POSCAR:
```
MgZnIr2
1.0
-4.227 -1.738 -0.599
-2.707 -3.622 0.894
-2.195 1.466 4.083
Zn Ir Mg
1 2 1
direct
0.250 0.250 0.250
0.996 0.996 0.009
0.504 0.504 0.491
0.750 0.750 0.750
```

4.
Computed, not measured: a relaxed MgZnIr crystal at the PBE level of DFT.

Geometry as POSCAR:
```
MgZnIr
1.0
4.435 0.000 0.000
0.000 5.463 0.000
0.000 0.000 7.670
Mg Ir Zn
4 4 4
direct
0.500 0.250 0.750
0.000 0.750 0.250
0.500 0.750 0.750
0.000 0.250 0.250
0.000 0.500 0.582
0.000 0.000 0.918
0.500 0.000 0.418
0.500 0.500 0.082
0.000 0.000 0.584
0.000 0.500 0.916
0.500 0.000 0.084
0.500 0.500 0.416
```

| no. | total energy (eV/atom) |
| --- | --- |
| 1 | -3.360 |
| 2 | -4.468 |
| 3 | -5.377 |
| 4 | -4.138 |